Model 1:
{
  "formula": "InRe2Cl",
  "functional": "PBE",
  "state": "relaxed",
  "lattice": [[-1.826, 1.826, 6.194], [1.826, -1.826, 6.194], [1.826, 1.826, -6.194]],
  "species": ["In", "Re", "Re", "Cl"],
  "frac_coords": [[0.000, 0.000, 0.000], [0.250, 0.750, 0.500], [0.750, 0.250, 0.500], [0.500, 0.500, 0.000]],
  "crystal_system": "tetragonal",
  "total_magnetization_mub_per_cell": 0.00
}

=====

Model 2:
{
  "formula": "InRe2Cl",
  "functional": "PBE",
  "state": "relaxed",
  "lattice": [[1.463, 0.845, 8.874], [-1.463, 0.845, 8.874], [0.000, -1.689, 8.874]],
  "species": ["In", "Re", "Re", "Cl"],
  "frac_coords": [[0.000, 0.000, 0.000], [0.246, 0.246, 0.246], [0.754, 0.754, 0.754], [0.500, 0.500, 0.500]],
  "crystal_system": "trigonal",
  "total_magnetization_mub_per_cell": 0.48
}

=====

We find model 2 to be the most stable, with the next structure 36.4 kJ/mol of atoms higher.